Below is Na2UPd2O6 after structural relaxation, with properties calculated at the GGA-PBE level.

Results
- Total DFT energy (no corrections): -0.2436 hartree per atom
- Symmetry: No. 12

Geometry as extended XYZ:
```
11
Lattice="-1.9083 3.2765 3.9779 -3.9809 -2.6656 -2.6923 3.3222 -4.6054 3.0704" Properties=species:S:1:pos:R:3 pbc="T T T"
Na -2.2826 2.2032 2.7731
Na -3.6065 -1.5922 -1.4874
U 1.6611 -2.3027 1.5352
Pd -1.6267 -2.9812 1.0734
Pd -0.9402 -1.0132 3.2826
O -2.0761 -2.7273 3.0746
O 1.0203 -4.2350 1.3809
O -0.4907 -1.2672 1.2814
O 1.7025 -2.2793 3.5762
O -3.5872 0.2405 2.9751
O -4.2694 -1.7152 0.7798
```